1.
DFT (PBE-GGA) results for a relaxed structure of Li3Sn3Pt.

Properties
- Total moment: 0.000 μB/f.u.
- SG: No. 194
- Crystal system: hexagonal
- Energy of formation: -0.440 eV/atom

abc: 8.6299 8.6299 4.3129
angles: 90.00 90.00 120.00
Fractional coordinates of all 14 atoms:
Li 0.1104 0.5552 0.2500
Li 0.4448 0.5552 0.2500
Li 0.4448 0.8896 0.2500
Li 0.5552 0.1104 0.7500
Li 0.5552 0.4448 0.7500
Li 0.8896 0.4448 0.7500
Sn 0.1553 0.3106 0.7500
Sn 0.1553 0.8447 0.7500
Sn 0.3106 0.1553 0.2500
Sn 0.6894 0.8447 0.7500
Sn 0.8447 0.1553 0.2500
Sn 0.8447 0.6894 0.2500
Pt 0.3333 0.6667 0.7500
Pt 0.6667 0.3333 0.2500

=====

2.
DFT (PBE-GGA) results for a relaxed structure of Li3Sn2Pt4.

Properties
- Total moment: 0.000 μB/f.u.
- SG: No. 2
- Crystal system: triclinic
- Energy of formation: -0.620 eV/atom

abc: 4.1588 4.6022 8.4606
angles: 81.80 89.95 63.15
Fractional coordinates of all 9 atoms:
Li 0.0000 0.0000 0.0000
Li 0.3429 0.3164 0.4428
Li 0.6571 0.6836 0.5572
Sn 0.3370 0.3246 0.7761
Sn 0.6630 0.6754 0.2239
Pt 0.0025 0.9923 0.6667
Pt 0.3288 0.3432 0.1040
Pt 0.6712 0.6568 0.8960
Pt 0.9975 0.0077 0.3333